No. 1
First-principles (GGA-PBE) data for an optimized crystal structure of Li2AlSe2, as listed in Alexandria via LeMat-Bulk.

Cell lengths 7.0736, 7.0736, 3.7334 Å; angles 90.00, 90.00, 90.00 degrees
Fractional coordinates of all 10 atoms:
Li1 0.1384 0.3616 0.0000
Li2 0.3616 0.8616 0.0000
Li3 0.6384 0.1384 0.0000
Li4 0.8616 0.6384 0.0000
Al1 0.0000 0.0000 0.5000
Al2 0.5000 0.5000 0.5000
Se1 0.1801 0.6801 0.5000
Se2 0.3199 0.1801 0.5000
Se3 0.6801 0.8199 0.5000
Se4 0.8199 0.3199 0.5000

Output
E_form (uncorrected) = -0.72 eV/atom
DFT total energy = -36.3 eV per cell
ρ = 3.534 Mg/m³

***

No. 2
First-principles (GGA-PBE) data for an optimized crystal structure of Pu2NpV, as listed in Alexandria via LeMat-Bulk.

Cell lengths 11.1939, 11.1939, 11.1939 Å; angles 14.64, 14.64, 14.64 degrees
Fractional coordinates of all 4 atoms:
Pu1 0.0769 0.0769 0.0769
Pu2 0.9231 0.9231 0.9231
Np1 0.5000 0.5000 0.5000
V1 0.0000 0.0000 0.0000

Output
ΔE_f = 61.7 kJ/mol of atoms
DFT total energy = -48.2 eV per cell
ρ = 16.518 Mg/m³

***

Q: The lowest ρ belongs to which entry?
A: Li2AlSe2

***

What did the first record say?
First-principles (GGA-PBE) data for an optimized crystal structure of Li2AlSe2, as listed in Alexandria via LeMat-Bulk.

Cell lengths 7.0736, 7.0736, 3.7334 Å; angles 90.00, 90.00, 90.00 degrees
Fractional coordinates of all 10 atoms:
Li1 0.1384 0.3616 0.0000
Li2 0.3616 0.8616 0.0000
Li3 0.6384 0.1384 0.0000
Li4 0.8616 0.6384 0.0000
Al1 0.0000 0.0000 0.5000
Al2 0.5000 0.5000 0.5000
Se1 0.1801 0.6801 0.5000
Se2 0.3199 0.1801 0.5000
Se3 0.6801 0.8199 0.5000
Se4 0.8199 0.3199 0.5000

Output
E_form (uncorrected) = -0.72 eV/atom
DFT total energy = -36.3 eV per cell
ρ = 3.534 Mg/m³

***

Q: Look up the ρ of the second one.
A: 16.518 Mg/m³